1.
NaTiTl | PBE | relaxed

abc: 5.0474 5.0474 5.9141
angles: 90.00 90.00 120.00
Closest atoms and distances in Å follow each position.
Fractional positions:
Na  0.0000  0.0000  0.0000  2 Na 2.96, 6 Tl 3.27, 6 Ti 3.27
Na  0.0000  0.0000  0.5000  2 Na 2.96, 6 Tl 3.27, 6 Ti 3.27
Tl  0.3333  0.6667  0.7500  5 Ti 2.91-2.96
Tl  0.6667  0.3333  0.2500  5 Ti 2.91-2.96
Ti  0.3333  0.6667  0.2500  5 Tl 2.91-2.96
Ti  0.6667  0.3333  0.7500  5 Tl 2.91-2.96

E_form = 0.29 eV per atom

---

2.
Na2TiTl | PBE | relaxed

abc: 5.2152 5.2152 5.2152
angles: 60.00 60.00 60.00
Closest atoms and distances in Å follow each position.
Fractional positions:
Na  0.2500  0.2500  0.2500  4 Tl 3.19, 4 Ti 3.19
Na  0.7500  0.7500  0.7500  4 Ti 3.19, 4 Tl 3.19
Tl  0.5000  0.5000  0.5000  8 Na 3.19
Ti  0.0000  0.0000  0.0000  8 Na 3.19

E_form = 0.58 eV per atom

---

3.
NaTiTl | PBE | relaxed

abc: 5.3902 5.3902 6.5229
angles: 90.00 90.00 90.00
Closest atoms and distances in Å follow each position.
Fractional positions:
Na  0.0000  0.5000  0.1240  2 Ti 3.11-3.41
Na  0.5000  0.0000  0.8760  2 Ti 3.11-3.41
Tl  0.0000  0.0000  0.5000  4 Ti 2.77
Tl  0.5000  0.5000  0.5000  4 Ti 2.77
Ti  0.0000  0.5000  0.6007  4 Tl 2.77
Ti  0.5000  0.0000  0.3993  4 Tl 2.77

E_form = 0.55 eV per atom

---

no.,total moment (μB per cell),E above lowest polymorph (meV per atom),ρ (Mg/m³)
1,0.00,241,7.005
2,1.81,0,4.937
3,2.87,501,4.823